# RePtSe2

A relaxed RePtSe2 crystal (PBE-GGA, Alexandria via LeMat-Bulk).

Computed properties:
The final energy is -5.529 eV per atom. For the formation energy from raw total energies, the calculation gives 0.84 eV per atom. The value obtained for the density of states at the Fermi level is 1.01 states/eV/atom. The spin magnetization comes out at 0.05 μB per formula unit.

a = 6.4774 Å, b = 6.4774 Å, c = 6.4774 Å
α = 90.00°, β = 90.00°, γ = 90.00°
Closest atoms and distances in Å follow each position.
Space group F-43m (No. 216)
Inequivalent atoms, fractional coordinates:
Re 0.0000 0.0000 0.0000 (multiplicity 4)  4 Pt 2.80, 4 Se 2.80
Pt 0.2500 0.2500 0.7500 (multiplicity 4)  4 Se 2.80, 4 Re 2.80
Se 0.0000 0.0000 0.5000 (multiplicity 4)  4 Se 2.80, 4 Pt 2.80
Se 0.2500 0.2500 0.2500 (multiplicity 4)  4 Re 2.80, 4 Se 2.80

=====

# SrCaCeTiO6

A relaxed SrCaCeTiO6 crystal (PBE-GGA, Alexandria via LeMat-Bulk).

Computed properties:
The final energy is -7.734 eV per atom. For the formation energy from raw total energies, the calculation gives -3.01 eV per atom. The value obtained for the density of states at the Fermi level is 0.00 states/eV/atom. The spin magnetization comes out at 0.00 μB per formula unit.

a = 8.3243 Å, b = 8.3243 Å, c = 8.3243 Å
α = 90.00°, β = 90.00°, γ = 90.00°
Closest atoms and distances in Å follow each position.
Space group F-43m (No. 216)
Inequivalent atoms, fractional coordinates:
Sr 0.0000 0.0000 0.0000 (multiplicity 4)  12 O 2.95
Ca 0.0000 0.0000 0.5000 (multiplicity 4)  12 O 2.95
Ce 0.2500 0.2500 0.2500 (multiplicity 4)  6 O 2.20
Ti 0.2500 0.2500 0.7500 (multiplicity 4)  6 O 1.96
O 0.0143 0.2500 0.7500 (multiplicity 24)  1 Ti 1.96

=====

# YInBr3

A relaxed YInBr3 crystal (PBE-GGA, Alexandria via LeMat-Bulk).

Computed properties:
The final energy is -3.124 eV per atom. For the formation energy from raw total energies, the calculation gives -0.28 eV per atom. The value obtained for the density of states at the Fermi level is 1.32 states/eV/atom. The spin magnetization comes out at 1.47 μB per formula unit.

a = 5.6724 Å, b = 5.6724 Å, c = 5.6724 Å
α = 90.00°, β = 90.00°, γ = 90.00°
Closest atoms and distances in Å follow each position.
Space group Pm-3m (No. 221)
Inequivalent atoms, fractional coordinates:
Y 0.0000 0.0000 0.0000 (multiplicity 1)  12 Br 4.01
In 0.5000 0.5000 0.5000 (multiplicity 1)  6 Br 2.84
Br 0.0000 0.5000 0.5000 (multiplicity 3)  2 In 2.84

=====

# NaF11

A relaxed NaF11 crystal (PBE-GGA, Alexandria via LeMat-Bulk).

Computed properties:
The final energy is -2.139 eV per atom. For the formation energy from raw total energies, the calculation gives -0.31 eV per atom. The value obtained for the density of states at the Fermi level is 0.34 states/eV/atom. The spin magnetization comes out at 0.49 μB per formula unit.

a = 6.9583 Å, b = 9.3862 Å, c = 12.0812 Å
α = 90.00°, β = 90.00°, γ = 90.00°
Closest atoms and distances in Å follow each position.
Space group Imma (No. 74)
Inequivalent atoms, fractional coordinates:
Na 0.0000 0.2500 0.1097 (multiplicity 4)  3 F 2.20-2.43
F 0.0000 0.0000 0.5000 (multiplicity 4)  4 F 2.21
F 0.0000 0.2500 0.2921 (multiplicity 4)  2 F 1.81
F 0.1028 0.0590 0.8057 (multiplicity 16)  1 F 1.43
F 0.2191 0.1697 0.5035 (multiplicity 16)  1 F 1.51
F 0.2500 0.2500 0.2500 (multiplicity 4)  2 F 1.81